# 1
Crystalline YAsWSe2 at its relaxed geometry. Source: the Alexandria database, functional PBE-GGA.

Cell and atoms, written as POSCAR:
```
YAsWSe2
1.0
4.9393 0.0000 0.0000
0.0000 4.9393 0.0000
0.0000 0.0000 4.9396
Y As Se W
1 1 2 1
direct
0.5000 0.5000 0.5000
0.0000 0.0000 0.5000
0.0000 0.5000 0.0000
0.5000 0.0000 0.0000
0.0000 0.0000 0.0000
```

Properties
Energy above the most stable polymorph in this dataset ... 0 meV per atom

---

# 2
Crystalline ZnAs2WSe at its relaxed geometry. Source: the Alexandria database, functional PBE-GGA.

Cell and atoms, written as POSCAR:
```
ZnAs2WSe
1.0
4.9739 0.0000 0.0000
0.0000 4.9739 0.0000
0.0000 0.0000 4.8557
Zn As Se W
1 2 1 1
direct
0.5000 0.5000 0.5000
0.0000 0.5000 0.0000
0.5000 0.0000 0.0000
0.0000 0.0000 0.5000
0.0000 0.0000 0.0000
```

Properties
Energy above the most stable polymorph in this dataset ... 0 meV per atom

---

# 3
Crystalline ZnAs2WSe at its relaxed geometry. Source: the Alexandria database, functional PBE-GGA.

Cell and atoms, written as POSCAR:
```
ZnAs2WSe
1.0
4.6526 0.0000 0.0000
0.0000 4.6526 0.0000
0.0000 0.0000 4.7638
Zn As Se W
1 2 1 1
direct
0.0000 0.0000 0.0000
0.0000 0.5000 0.0000
0.5000 0.0000 0.0000
0.0000 0.0000 0.5000
0.5000 0.5000 0.5000
```

Properties
Energy above the most stable polymorph in this dataset ... 958 meV per atom

---

# 4
Crystalline ZrAsWSe2 at its relaxed geometry. Source: the Alexandria database, functional PBE-GGA.

Cell and atoms, written as POSCAR:
```
ZrAsWSe2
1.0
4.8913 0.0000 0.0000
0.0000 4.8913 0.0000
0.0000 0.0000 4.9175
As Se Zr W
1 2 1 1
direct
0.0000 0.0000 0.5000
0.0000 0.5000 0.0000
0.5000 0.0000 0.0000
0.5000 0.5000 0.5000
0.0000 0.0000 0.0000
```

Properties
Energy above the most stable polymorph in this dataset ... 0 meV per atom

---

# 5
Crystalline ZrAsWSe2 at its relaxed geometry. Source: the Alexandria database, functional PBE-GGA.

Cell and atoms, written as POSCAR:
```
ZrAsWSe2
1.0
5.0980 0.0000 0.0000
0.0000 5.0980 0.0000
0.0000 0.0000 5.2642
As Se Zr W
1 2 1 1
direct
0.0000 0.0000 0.5000
0.0000 0.5000 0.0000
0.5000 0.0000 0.0000
0.0000 0.0000 0.0000
0.5000 0.5000 0.5000
```

Properties
Energy above the most stable polymorph in this dataset ... 442 meV per atom

---

# 6
Crystalline ZrAs2WSe at its relaxed geometry. Source: the Alexandria database, functional PBE-GGA.

Cell and atoms, written as POSCAR:
```
ZrAs2WSe
1.0
-1.6250 1.9966 -4.1275
-0.1772 -4.4031 -2.0601
-4.6430 -0.5451 1.5643
As Se Zr W
2 1 1 1
direct
0.0000 0.5000 0.0000
0.5000 0.0000 0.0000
0.0000 0.0000 0.5000
0.5000 0.5000 0.5000
0.0000 0.0000 0.0000
```

Properties
Energy above the most stable polymorph in this dataset ... 0 meV per atom

---

# 7
Crystalline ZrAs2WSe at its relaxed geometry. Source: the Alexandria database, functional PBE-GGA.

Cell and atoms, written as POSCAR:
```
ZrAs2WSe
1.0
5.1641 0.0000 0.0000
0.0000 5.1641 0.0000
0.0000 0.0000 5.0655
As Se Zr W
2 1 1 1
direct
0.0000 0.5000 0.0000
0.5000 0.0000 0.0000
0.0000 0.0000 0.5000
0.0000 0.0000 0.0000
0.5000 0.5000 0.5000
```

Properties
Energy above the most stable polymorph in this dataset ... 561 meV per atom

---

# 8
Crystalline YAsSe2 at its relaxed geometry. Source: the Alexandria database, functional PBE-GGA.

Cell and atoms, written as POSCAR:
```
YAsSe2
1.0
-4.9837 -0.5881 0.1372
-2.1029 -2.7593 3.6285
-2.6918 2.2261 3.6056
Y As Se
1 1 2
direct
0.7500 0.7500 0.7500
0.5000 0.5000 0.5000
0.0000 0.0000 0.0000
0.2500 0.2500 0.2500
```

---

# 9
Crystalline YAs3Se at its relaxed geometry. Source: the Alexandria database, functional PBE-GGA.

Cell and atoms, written as POSCAR:
```
YAs3Se
1.0
5.4128 0.0000 0.0000
0.0000 5.4128 0.0000
0.0000 0.0000 5.4128
Y As Se
1 3 1
direct
0.0000 0.0000 0.0000
0.0000 0.5000 0.0000
0.0000 0.0000 0.5000
0.5000 0.0000 0.0000
0.5000 0.5000 0.5000
```

Properties
Energy above the most stable polymorph in this dataset ... 531 meV per atom

---

# 10
Crystalline YAsSe2 at its relaxed geometry. Source: the Alexandria database, functional PBE-GGA.

Cell and atoms, written as POSCAR:
```
YAsSe2
1.0
5.2116 0.0000 0.0000
0.0000 5.2116 0.0000
2.6058 2.6058 8.3387
Y As Se
2 2 4
direct
0.0000 0.0000 0.0000
0.7500 0.2500 0.5000
0.5000 0.5000 0.0000
0.2500 0.7500 0.5000
0.6082 0.1250 0.2500
0.1418 0.6250 0.2500
0.3750 0.3918 0.7500
0.8750 0.8582 0.7500
```

---

# 11
Crystalline YAsSe2 at its relaxed geometry. Source: the Alexandria database, functional PBE-GGA.

Cell and atoms, written as POSCAR:
```
YAsSe2
1.0
8.0413 0.0323 0.0233
7.1415 3.6963 0.0233
0.7953 0.1953 3.7286
Y As Se
1 1 2
direct
0.4405 0.4405 0.5567
0.2615 0.2615 0.2615
0.0085 0.0085 0.9972
0.7895 0.7895 0.6846
```

---

# 12
Crystalline YAsSe2 at its relaxed geometry. Source: the Alexandria database, functional PBE-GGA.

Cell and atoms, written as POSCAR:
```
YAsSe2
1.0
5.7536 -0.0129 0.0000
2.6940 5.0839 0.0000
-4.2238 -2.5355 2.9723
Y As Se
1 1 2
direct
0.2500 0.7500 0.5000
0.7500 0.2500 0.5000
0.0000 0.0000 0.0000
0.5000 0.5000 0.0000
```

---

# 13
Crystalline YAsSe at its relaxed geometry. Source: the Alexandria database, functional PBE-GGA.

Cell and atoms, written as POSCAR:
```
YAsSe
1.0
-2.8903 -2.1597 1.5137
1.9974 -3.2590 -0.8358
4.3466 3.0612 7.6100
Y As Se
2 2 2
direct
0.3604 0.3604 0.7207
0.6396 0.6396 0.2793
0.0000 0.5000 0.0000
0.5000 0.0000 0.0000
0.1883 0.1883 0.3765
0.8117 0.8117 0.6235
```

---

# 14
Crystalline YAsSe2 at its relaxed geometry. Source: the Alexandria database, functional PBE-GGA.

Cell and atoms, written as POSCAR:
```
YAsSe2
1.0
-0.5518 4.4502 -3.0914
-0.2433 -1.6762 -5.1765
-2.7872 -0.9894 4.5736
Y As Se
1 1 2
direct
0.2500 0.7500 0.5000
0.7500 0.2500 0.5000
0.9475 0.9475 0.0000
0.5525 0.5525 0.0000
```

---

# 15
Crystalline YAs3Se at its relaxed geometry. Source: the Alexandria database, functional PBE-GGA.

Cell and atoms, written as POSCAR:
```
YAs3Se
1.0
4.9849 0.0000 0.0000
0.0000 4.9849 0.0000
0.0000 0.0000 4.9849
Y As Se
1 3 1
direct
0.5000 0.5000 0.5000
0.0000 0.5000 0.0000
0.0000 0.0000 0.5000
0.5000 0.0000 0.0000
0.0000 0.0000 0.0000
```

Properties
Energy above the most stable polymorph in this dataset ... 0 meV per atom

---

# 16
Crystalline Y5AsSe5 at its relaxed geometry. Source: the Alexandria database, functional PBE-GGA.

Cell and atoms, written as POSCAR:
```
Y5AsSe5
1.0
5.3644 0.0000 -2.1610
-0.7055 7.9300 -1.7514
-0.2806 -0.5684 7.0422
Y As Se
5 1 5
direct
0.1607 0.8292 0.3215
0.1629 0.3322 0.3258
0.5000 0.0000 0.0000
0.8371 0.6678 0.6742
0.8393 0.1708 0.6785
0.0000 0.0000 0.0000
0.3326 0.6654 0.6652
0.3314 0.1658 0.6627
0.0000 0.5000 0.0000
0.6686 0.8342 0.3372
0.6674 0.3346 0.3348
```

---

# 17
Crystalline Y4As2Se at its relaxed geometry. Source: the Alexandria database, functional PBE-GGA.

Cell and atoms, written as POSCAR:
```
Y4As2Se
1.0
-4.1584 -5.5441 3.6301
7.1972 0.3554 3.0463
-3.4513 6.9588 0.9331
Y As Se
8 4 2
direct
0.8055 0.1311 0.3255
0.8055 0.6745 0.4800
0.1945 0.5200 0.3255
0.1945 0.6745 0.8689
0.3055 0.0755 0.3811
0.3055 0.2300 0.9245
0.6945 0.0755 0.7700
0.6945 0.6189 0.9245
0.7500 0.3750 0.1250
0.2500 0.8750 0.6250
0.2500 0.3750 0.6250
0.7500 0.3750 0.6250
0.5000 0.7500 0.2500
0.0000 0.0000 0.0000
```

---

# 18
Crystalline YAsSe at its relaxed geometry. Source: the Alexandria database, functional PBE-GGA.

Cell and atoms, written as POSCAR:
```
YAsSe
1.0
-3.6455 1.0023 1.0118
0.6515 -1.3356 3.6703
5.7098 15.9367 4.7856
Y As Se
4 4 4
direct
0.7500 0.2350 0.8603
0.7500 0.2650 0.3603
0.2500 0.7650 0.1397
0.2500 0.7350 0.6397
0.2500 0.2113 0.5019
0.2500 0.2887 0.0019
0.7500 0.7887 0.4981
0.7500 0.7113 0.9981
0.7500 0.2376 0.6879
0.7500 0.2624 0.1879
0.2500 0.7624 0.3121
0.2500 0.7376 0.8121
```

---

# 19
Crystalline YAsSe2 at its relaxed geometry. Source: the Alexandria database, functional PBE-GGA.

Cell and atoms, written as POSCAR:
```
YAsSe2
1.0
4.0086 0.0000 0.0000
0.0000 5.8626 0.0000
0.0000 0.0000 3.9176
Y As Se
1 1 2
direct
0.5000 0.0000 0.5000
0.0000 0.5000 0.5000
0.0000 0.0000 0.0000
0.5000 0.5000 0.0000
```

---

# 20
Crystalline YAsSe2 at its relaxed geometry. Source: the Alexandria database, functional PBE-GGA.

Cell and atoms, written as POSCAR:
```
YAsSe2
1.0
-2.8370 -4.3990 0.4482
-0.8227 -3.6886 3.6494
-4.1389 2.4516 2.0602
Y As Se
1 1 2
direct
0.7500 0.7500 0.7500
0.2500 0.2500 0.2500
0.0516 0.0516 0.9619
0.4484 0.4484 0.5381
```

---

| no. | uncorrected formation energy (eV/atom) |
| --- | --- |
| 1 | -0.104 |
| 2 | 0.491 |
| 3 | 1.449 |
| 4 | 0.444 |
| 5 | 0.886 |
| 6 | 0.515 |
| 7 | 1.076 |
| 8 | -0.329 |
| 9 | 0.678 |
| 10 | -0.583 |
| 11 | -1.005 |
| 12 | -0.579 |
| 13 | -1.409 |
| 14 | -0.847 |
| 15 | 0.147 |
| 16 | -1.842 |
| 17 | -1.206 |
| 18 | -1.447 |
| 19 | -0.790 |
| 20 | -0.738 |